Record 1
# ZnReW2C PBEsol relaxed
data_ZnReW2C
_symmetry_space_group_name_H-M 'P 4/m m m'
_symmetry_Int_Tables_number 123
_symmetry_space_group_name_Hall '-P 4 2'
_cell_length_a 4.4825
_cell_length_b 4.4825
_cell_length_c 4.4102
_cell_angle_alpha 90.00
_cell_angle_beta 90.00
_cell_angle_gamma 90.00
loop_
_atom_site_label
_atom_site_type_symbol
_atom_site_fract_x
_atom_site_fract_y
_atom_site_fract_z
_atom_site_occupancy
Zn1 Zn 0.0000 0.0000 0.0000 1
Re1 Re 0.0000 0.0000 0.5000 1
W1 W 0.0000 0.5000 0.0000 1
C1 C 0.5000 0.5000 0.5000 1
# **Density of states at the Fermi level**: 6.173 states/eV per cell
# **Formation energy**: 3.484 eV/atom

***

Record 2
# Y2ReC2 PBEsol relaxed
data_Y2ReC2
_symmetry_space_group_name_H-M 'P n m a'
_symmetry_Int_Tables_number 62
_symmetry_space_group_name_Hall '-P 2ac 2n'
_cell_length_a 6.5241
_cell_length_b 5.0624
_cell_length_c 9.7682
_cell_angle_alpha 90.00
_cell_angle_beta 90.00
_cell_angle_gamma 90.00
loop_
_atom_site_label
_atom_site_type_symbol
_atom_site_fract_x
_atom_site_fract_y
_atom_site_fract_z
_atom_site_occupancy
Y1 Y 0.0329 0.2500 0.2156 1
Y2 Y 0.1792 0.2500 0.5559 1
Re1 Re 0.2196 0.2500 0.8664 1
C1 C 0.0473 0.7500 0.2410 1
C2 C 0.1760 0.7500 0.5505 1
# **Density of states at the Fermi level**: 7.334 states/eV per cell
# **Formation energy**: -0.460 eV/atom